Density functional theory data (PBE) for a geometry-optimized RhAuN2F structure.

Calculated values
For the uncorrected formation energy, the calculation gives 1.709 eV per atom. As for the raw total energy: -0.1515 Ha/atom. The calculation puts the polymorph energy (0 for the lowest one) at 3.81 eV/f.u. The total magnetic moment is 4.8 μB per formula unit. As for the space group: P4/mmm (123). As for the density of states at the Fermi level: 3.78 states/eV per cell.

Cell: 3.9617 3.9617 4.7617 Å, 90.00 90.00 90.00°
Closest atoms and distances in Å follow each position.
Fractional positions:
Au 0.0000 0.0000 0.0000  4 N 1.98
N 0.5000 0.0000 0.0000  2 Au 1.98
N 0.0000 0.5000 0.0000  2 Au 1.98
F 0.0000 0.0000 0.5000  2 Au 2.38
Rh 0.5000 0.5000 0.5000  4 F 2.80, 8 N 3.10

***

Density functional theory data (PBE) for a geometry-optimized TmLuMgFe structure.

Calculated values
Its calculated formation energy is 105 meV/atom. As for the raw total energy: -0.1711 Ha/atom. The total magnetic moment is 1.1 μB per formula unit. As for the space group: F-43m (216). As for the density of states at the Fermi level: 7.24 states/eV per cell.

Cell: 4.9462 4.9462 4.9462 Å, 60.00 60.00 60.00°
Closest atoms and distances in Å follow each position.
Fractional positions:
Lu 0.7500 0.7500 0.7500  4 Fe 3.03, 4 Mg 3.03
Mg 0.0000 0.0000 0.0000  4 Lu 3.03, 4 Tm 3.03
Fe 0.5000 0.5000 0.5000  4 Tm 3.03, 4 Lu 3.03
Tm 0.2500 0.2500 0.2500  4 Mg 3.03, 4 Fe 3.03

***

Density functional theory data (PBE) for a geometry-optimized MnAg5S5 structure.

Calculated values
For the uncorrected formation energy, the calculation gives -0.083 eV per atom. As for the raw total energy: -0.1502 Ha/atom. The total magnetic moment is 3.7 μB per formula unit. As for the space group: C2/m (12). As for the density of states at the Fermi level: 3.78 states/eV per cell.

Cell: 5.0541 6.5437 7.3316 Å, 106.98 90.00 112.72°
Closest atoms and distances in Å follow each position.
Fractional positions:
S 0.5000 0.0000 0.0000  2 Mn 2.53, 4 Ag 2.66-2.67
S 0.1362 0.2724 0.8298  1 Mn 2.36, 3 Ag 2.46-2.55
S 0.8358 0.6717 0.6846  1 Mn 2.52, 5 Ag 2.56-2.73
S 0.8638 0.7276 0.1702  1 Mn 2.36, 3 Ag 2.46-2.55
S 0.1642 0.3283 0.3154  1 Mn 2.52, 5 Ag 2.56-2.73
Ag 0.6593 0.3187 0.8172  4 S 2.55-2.67
Ag 0.6483 0.2965 0.3560  4 S 2.56-2.73
Ag 0.0000 0.0000 0.5000  4 S 2.46-2.73
Ag 0.3517 0.7035 0.6440  4 S 2.56-2.73
Ag 0.3407 0.6813 0.1828  4 S 2.55-2.67
Mn 0.0000 0.0000 0.0000  6 S 2.36-2.53